No. 1
Ni4Ir: relaxed, PBE.

The structure in POSCAR format:
```
Ni4Ir
1.0
5.189 0.000 0.000
0.000 5.189 0.000
0.000 0.000 4.778
Ni Ir
8 2
direct
0.123 0.300 0.000
0.123 0.700 0.500
0.300 0.123 0.500
0.300 0.877 0.000
0.700 0.123 0.000
0.700 0.877 0.500
0.877 0.300 0.500
0.877 0.700 0.000
0.500 0.500 0.250
0.500 0.500 0.750
```

Computed properties:
* excess energy over the best structure of this formula in the dataset: 389 meV/atom
* energy of formation: 9.15 kcal/mol of atoms

No. 2
CdMo2Os: relaxed, PBE.

The structure in POSCAR format:
```
CdMo2Os
1.0
1.407 0.812 9.625
-1.407 0.812 9.625
0.000 -1.625 9.625
Cd Mo Os
1 2 1
direct
0.000 0.000 0.000
0.506 0.506 0.506
0.755 0.755 0.755
0.246 0.246 0.246
```

Computed properties:
* energy of formation: 7.39 kcal/mol of atoms

No. 3
NdCd3Hg7: relaxed, PBE.

The structure in POSCAR format:
```
NdCd3Hg7
1.0
4.707 -5.370 0.000
4.707 5.370 0.000
-2.217 0.000 5.858
Nd Cd Hg
1 3 7
direct
0.000 0.000 0.000
0.265 0.735 0.500
0.500 0.500 0.000
0.735 0.265 0.500
0.000 0.000 0.500
0.093 0.552 0.826
0.315 0.315 0.426
0.448 0.907 0.174
0.552 0.093 0.826
0.685 0.685 0.574
0.907 0.448 0.174
```

Computed properties:
* energy of formation: -0.58 kcal/mol of atoms

No. 4
Tb5NdTm12: relaxed, PBE.

The structure in POSCAR format:
```
Tb5NdTm12
1.0
3.048 -5.300 0.000
3.048 5.300 0.000
-2.039 0.000 17.131
Tb Nd Tm
5 1 12
direct
0.000 0.000 0.000
0.167 0.833 0.500
0.334 0.666 0.000
0.666 0.334 0.000
0.833 0.167 0.500
0.500 0.500 0.500
0.056 0.722 0.168
0.109 0.443 0.332
0.222 0.222 0.668
0.278 0.944 0.832
0.389 0.389 0.168
0.443 0.109 0.332
0.557 0.891 0.668
0.611 0.611 0.832
0.722 0.056 0.168
0.778 0.778 0.332
0.891 0.557 0.668
0.944 0.278 0.832
```

Computed properties:
* energy of formation: 0.22 kcal/mol of atoms

The highest energy of formation belongs to which entry?
Ni4Ir

Which of these has the lowest energy of formation?
NdCd3Hg7